# CaReSb2 PBE relaxed
data_CaReSb2
_cell_length_a 3.314
_cell_length_b 5.801
_cell_length_c 10.346
_cell_angle_alpha 90.00
_cell_angle_beta 90.00
_cell_angle_gamma 90.00
_symmetry_space_group_name_H-M 'I m m m'
_symmetry_Int_Tables_number 71
_symmetry_space_group_name_Hall '-I 2 2'
loop_
_atom_site_label
_atom_site_fract_x
_atom_site_fract_y
_atom_site_fract_z
Ca1 0.000 0.000 0.000
Re1 0.000 0.000 0.500
Sb1 0.000 0.500 0.202
# - E above lowest polymorph: 0.161 eV per atom
# - ΔE_f (raw): 0.1340 eV per atom